# 1
The following is a DFT calculation (PBE) of an optimized crystal structure of TaAgNO.

Final energy, eV/atom: -7.85
Polymorph energy (0 for the lowest one), meV per atom: 101

Cell: 3.421 5.546 6.256 Å, 90.00 90.00 90.00°
Atoms (fractional coordinates):
Ta 0.500 0.881 0.041
Ta 0.500 0.119 0.541
N 0.000 0.712 0.060
N 0.000 0.288 0.560
Ag 0.000 0.334 0.926
Ag 0.000 0.666 0.426
O 0.500 0.841 0.719
O 0.500 0.159 0.219


# 2
The following is a DFT calculation (PBE) of an optimized crystal structure of TaAgNO.

Final energy, eV/atom: -7.82
Polymorph energy (0 for the lowest one), meV per atom: 128

Cell: 3.454 6.173 5.713 Å, 90.00 90.00 90.00°
Atoms (fractional coordinates):
Ag 0.500 0.523 0.786
Ag 0.500 0.023 0.214
N 0.000 0.300 0.623
N 0.000 0.800 0.377
O 0.500 0.446 0.191
O 0.500 0.946 0.809
Ta 0.000 0.984 0.647
Ta 0.000 0.484 0.353


# 3
The following is a DFT calculation (PBE) of an optimized crystal structure of TaAgNO.

Final energy, eV/atom: -7.38
Polymorph energy (0 for the lowest one), meV per atom: 566

Cell: 4.396 4.396 4.727 Å, 90.00 90.00 90.00°
Atoms (fractional coordinates):
Ag 0.250 0.250 0.119
Ag 0.750 0.750 0.881
O 0.250 0.750 0.000
O 0.750 0.250 0.000
Ta 0.750 0.250 0.500
Ta 0.250 0.750 0.500
N 0.750 0.750 0.416
N 0.250 0.250 0.584


# 4
The following is a DFT calculation (PBE) of an optimized crystal structure of TaAgNO.

Final energy, eV/atom: -7.83
Polymorph energy (0 for the lowest one), meV per atom: 113

Cell: 5.713 6.126 6.870 Å, 90.00 90.00 90.00°
Atoms (fractional coordinates):
N 0.640 0.602 0.098
N 0.640 0.102 0.902
N 0.140 0.898 0.098
N 0.140 0.398 0.902
Ta 0.488 0.403 0.897
Ta 0.488 0.903 0.103
Ta 0.988 0.597 0.103
Ta 0.988 0.097 0.897
Ag 0.496 0.853 0.663
Ag 0.996 0.647 0.663
Ag 0.996 0.147 0.337
Ag 0.496 0.353 0.337
O 0.578 0.467 0.644
O 0.078 0.033 0.644
O 0.078 0.533 0.356
O 0.578 0.967 0.356


# 5
The following is a DFT calculation (PBE) of an optimized crystal structure of TaAgNO.

Final energy, eV/atom: -7.95
Polymorph energy (0 for the lowest one), meV per atom: 0

Cell: 6.039 6.659 5.251 Å, 90.00 90.00 90.00°
Site moments in Bohr magnetons follow the coordinates.
Atoms (fractional coordinates):
O 0.375 0.687 0.216  0.01
O 0.125 0.687 0.716  0.01
O 0.875 0.313 0.216  0.01
O 0.625 0.313 0.716  0.01
Ta 0.873 0.504 0.550  0.38
Ta 0.373 0.496 0.550  0.39
Ta 0.627 0.504 0.050  0.39
Ta 0.127 0.496 0.050  0.39
N 0.620 0.674 0.719  0.04
N 0.120 0.326 0.719  0.03
N 0.880 0.674 0.219  0.04
N 0.380 0.326 0.219  0.03
Ag 0.376 0.013 0.217  0.04
Ag 0.876 0.987 0.217  0.04
Ag 0.624 0.987 0.717  0.04
Ag 0.124 0.013 0.717  0.03


# 6
The following is a DFT calculation (PBE) of an optimized crystal structure of TaAgNO.

Final energy, eV/atom: -7.24
Polymorph energy (0 for the lowest one), meV per atom: 707

Cell: 3.388 3.388 8.164 Å, 90.00 90.00 90.00°
Site moments in Bohr magnetons follow the coordinates.
Atoms (fractional coordinates):
N 0.000 0.500 0.761  0.23
N 0.500 0.000 0.239  0.23
Ta 0.500 0.000 0.838  0.26
Ta 0.000 0.500 0.162  0.26
O 0.500 0.500 0.000  0.01
O 0.000 0.000 0.000  0.01
Ag 0.500 0.500 0.500  0.08
Ag 0.000 0.000 0.500  0.08


# 7
The following is a DFT calculation (PBE) of an optimized crystal structure of TlAgNO.

Final energy, eV/atom: -4.09
Polymorph energy (0 for the lowest one), meV per atom: 114

Cell: 4.805 4.805 4.738 Å, 90.00 90.00 90.00°
Atoms (fractional coordinates):
Ag 0.250 0.250 0.998
Ag 0.750 0.750 0.002
O 0.250 0.750 0.000
O 0.750 0.250 0.000
N 0.250 0.250 0.496
N 0.750 0.750 0.504
Tl 0.250 0.750 0.500
Tl 0.750 0.250 0.500


# 8
The following is a DFT calculation (PBE) of an optimized crystal structure of TlAgNO.

Final energy, eV/atom: -4.21
Polymorph energy (0 for the lowest one), meV per atom: 0

Cell: 4.330 4.330 7.004 Å, 90.00 90.00 90.00°
Atoms (fractional coordinates):
Tl 0.000 0.500 0.131
Tl 0.500 0.000 0.869
Ag 0.000 0.000 0.500
Ag 0.500 0.500 0.500
N 0.000 0.500 0.456
N 0.500 0.000 0.544
O 0.000 0.000 0.000
O 0.500 0.500 0.000


# 9
The following is a DFT calculation (PBE) of an optimized crystal structure of TlAgNO.

Final energy, eV/atom: -4.10
Polymorph energy (0 for the lowest one), meV per atom: 104

Cell: 3.702 6.310 5.796 Å, 90.00 90.00 90.00°
Atoms (fractional coordinates):
Ag 0.000 0.366 0.012
Ag 0.000 0.634 0.512
N 0.000 0.324 0.371
N 0.000 0.676 0.871
Tl 0.500 0.167 0.493
Tl 0.500 0.833 0.993
O 0.500 0.831 0.378
O 0.500 0.169 0.878


# 10
The following is a DFT calculation (PBE) of an optimized crystal structure of TlAgNO.

Final energy, eV/atom: -4.13
Polymorph energy (0 for the lowest one), meV per atom: 75

Cell: 3.445 6.051 6.472 Å, 90.00 90.00 90.00°
Atoms (fractional coordinates):
N 0.000 0.878 0.330
N 0.000 0.378 0.670
Ag 0.500 0.490 0.831
Ag 0.500 0.990 0.169
O 0.500 0.378 0.168
O 0.500 0.878 0.832
Tl 0.000 0.009 0.654
Tl 0.000 0.509 0.346


# 11
The following is a DFT calculation (PBE) of an optimized crystal structure of TlAgNO.

Final energy, eV/atom: -4.11
Polymorph energy (0 for the lowest one), meV per atom: 101

Cell: 5.614 5.725 7.306 Å, 90.00 90.00 90.00°
Atoms (fractional coordinates):
N 0.279 0.293 0.848
N 0.721 0.793 0.152
N 0.221 0.793 0.848
N 0.779 0.293 0.152
Ag 0.015 0.025 0.055
Ag 0.485 0.525 0.055
Ag 0.985 0.525 0.945
Ag 0.515 0.025 0.945
O 0.346 0.416 0.385
O 0.846 0.416 0.615
O 0.654 0.916 0.615
O 0.154 0.916 0.385
Tl 0.529 0.064 0.351
Tl 0.971 0.564 0.351
Tl 0.471 0.564 0.649
Tl 0.029 0.064 0.649


# 12
The following is a DFT calculation (PBE) of an optimized crystal structure of TlAgNO.

Final energy, eV/atom: -4.05
Polymorph energy (0 for the lowest one), meV per atom: 157

Cell: 5.911 6.010 7.423 Å, 90.00 90.00 90.00°
Atoms (fractional coordinates):
O 0.640 0.527 0.622
O 0.140 0.973 0.622
O 0.140 0.473 0.378
O 0.640 0.027 0.378
N 0.102 0.458 0.866
N 0.102 0.958 0.134
N 0.602 0.042 0.866
N 0.602 0.542 0.134
Tl 0.974 0.106 0.871
Tl 0.974 0.606 0.129
Tl 0.474 0.394 0.871
Tl 0.474 0.894 0.129
Ag 0.987 0.141 0.370
Ag 0.487 0.859 0.630
Ag 0.987 0.641 0.630
Ag 0.487 0.359 0.370


# 13
The following is a DFT calculation (PBE) of an optimized crystal structure of TmAgNO.

Final energy, eV/atom: -6.14
Polymorph energy (0 for the lowest one), meV per atom: 212

Cell: 3.678 5.664 6.163 Å, 90.00 90.00 90.00°
Atoms (fractional coordinates):
Tm 0.000 0.993 0.703
Tm 0.000 0.493 0.297
N 0.000 0.380 0.640
N 0.000 0.880 0.360
Ag 0.500 0.985 0.223
Ag 0.500 0.485 0.777
O 0.500 0.397 0.151
O 0.500 0.897 0.849


# 14
The following is a DFT calculation (PBE) of an optimized crystal structure of TmAgNO.

Final energy, eV/atom: -6.11
Polymorph energy (0 for the lowest one), meV per atom: 243

Cell: 3.861 5.536 6.219 Å, 90.00 90.00 90.00°
Atoms (fractional coordinates):
Tm 0.500 0.997 0.184
Tm 0.500 0.497 0.816
Ag 0.000 0.998 0.648
Ag 0.000 0.498 0.352
N 0.000 0.884 0.320
N 0.000 0.384 0.680
O 0.500 0.375 0.135
O 0.500 0.875 0.865


# 15
The following is a DFT calculation (PBE) of an optimized crystal structure of TmAgNO.

Final energy, eV/atom: -6.36
Polymorph energy (0 for the lowest one), meV per atom: 0

Cell: 5.508 7.485 5.609 Å, 90.00 90.00 90.00°
Atoms (fractional coordinates):
N 0.795 0.838 0.186
N 0.295 0.162 0.186
N 0.705 0.838 0.686
N 0.205 0.162 0.686
Tm 0.950 0.630 0.903
Tm 0.050 0.370 0.403
Tm 0.450 0.370 0.903
Tm 0.550 0.630 0.403
Ag 0.501 0.039 0.464
Ag 0.499 0.961 0.964
Ag 0.001 0.961 0.464
Ag 0.999 0.039 0.964
O 0.253 0.548 0.149
O 0.747 0.452 0.649
O 0.753 0.452 0.149
O 0.247 0.548 0.649


# 16
The following is a DFT calculation (PBE) of an optimized crystal structure of TmAgNO.

Final energy, eV/atom: -6.28
Polymorph energy (0 for the lowest one), meV per atom: 79

Cell: 4.809 4.809 4.482 Å, 90.00 90.00 90.00°
Atoms (fractional coordinates):
N 0.250 0.250 0.501
N 0.750 0.750 0.499
O 0.750 0.250 0.000
O 0.250 0.750 0.000
Ag 0.750 0.750 0.999
Ag 0.250 0.250 0.001
Tm 0.250 0.750 0.500
Tm 0.750 0.250 0.500


# 17
The following is a DFT calculation (PBE) of an optimized crystal structure of TmAgNO.

Final energy, eV/atom: -6.14
Polymorph energy (0 for the lowest one), meV per atom: 213

Cell: 3.819 3.819 7.566 Å, 90.00 90.00 90.00°
Atoms (fractional coordinates):
Ag 0.250 0.750 0.500
Ag 0.750 0.250 0.500
O 0.750 0.250 0.000
O 0.250 0.750 0.000
Tm 0.250 0.250 0.142
Tm 0.750 0.750 0.858
N 0.750 0.750 0.315
N 0.250 0.250 0.685


# 18
The following is a DFT calculation (PBE) of an optimized crystal structure of YAgNO.

Final energy, eV/atom: -6.79
Polymorph energy (0 for the lowest one), meV per atom: 0

Cell: 5.600 5.635 7.720 Å, 90.00 90.00 90.00°
Site moments in Bohr magnetons follow the coordinates.
Atoms (fractional coordinates):
Y 0.381 0.546 0.632  0.00
Y 0.881 0.454 0.368  0.00
Y 0.881 0.954 0.632  0.00
Y 0.381 0.046 0.368  0.00
O 0.625 0.745 0.458  0.00
O 0.125 0.255 0.542  0.00
O 0.625 0.245 0.542  0.00
O 0.125 0.755 0.458  0.00
Ag 0.009 0.560 0.970  0.03
Ag 0.009 0.060 0.030  0.03
Ag 0.509 0.940 0.970  0.03
Ag 0.509 0.440 0.030  0.03
N 0.188 0.845 0.831  0.07
N 0.688 0.655 0.831  0.07
N 0.688 0.155 0.169  0.07
N 0.188 0.345 0.169  0.07


# 19
The following is a DFT calculation (PBE) of an optimized crystal structure of YAgNO.

Final energy, eV/atom: -6.58
Polymorph energy (0 for the lowest one), meV per atom: 208

Cell: 3.749 5.595 6.216 Å, 90.00 90.00 90.00°
Atoms (fractional coordinates):
Y 0.000 0.489 0.300
Y 0.000 0.989 0.700
O 0.500 0.894 0.849
O 0.500 0.394 0.151
N 0.000 0.894 0.349
N 0.000 0.394 0.651
Ag 0.500 0.478 0.782
Ag 0.500 0.978 0.218


# 20
The following is a DFT calculation (PBE) of an optimized crystal structure of YAgNO.

Final energy, eV/atom: -6.60
Polymorph energy (0 for the lowest one), meV per atom: 184

Cell: 3.863 3.863 7.686 Å, 90.00 90.00 90.00°
Site moments in Bohr magnetons follow the coordinates.
Atoms (fractional coordinates):
Ag 0.000 0.000 0.500  0.18
Ag 0.500 0.500 0.500  0.18
Y 0.000 0.500 0.145  -0.01
Y 0.500 0.000 0.855  -0.01
N 0.000 0.500 0.678  0.58
N 0.500 0.000 0.322  0.58
O 0.000 0.000 0.000  0.03
O 0.500 0.500 0.000  0.03